1.
{"formula": "Pm2Si7Ru12", "functional": "GGA-PBE", "state": "optimized geometry", "lattice": [[3.955, 0.000, 0.000], [0.000, 8.356, -4.824], [0.000, 0.000, 9.648]], "species": ["Si", "Si", "Si", "Si", "Si", "Si", "Si", "Ru", "Ru", "Ru", "Ru", "Ru", "Ru", "Ru", "Ru", "Ru", "Ru", "Ru", "Ru", "Pm", "Pm"], "fractional_positions": [[0.500, 0.625, 0.563], [0.500, 0.437, 0.062], [0.000, 0.737, 0.957], [0.000, 0.220, 0.263], [0.500, 0.938, 0.375], [0.000, 0.333, 0.667], [0.000, 0.043, 0.780], [0.500, 0.235, 0.777], [0.000, 0.960, 0.236], [0.500, 0.223, 0.458], [0.000, 0.764, 0.723], [0.500, 0.542, 0.765], [0.000, 0.484, 0.942], [0.500, 0.903, 0.618], [0.000, 0.457, 0.516], [0.000, 0.058, 0.543], [0.500, 0.382, 0.285], [0.500, 0.715, 0.097], [0.000, 0.277, 0.040], [0.500, 0.000, 0.000], [0.000, 0.667, 0.333]], "total_magnetization_mub_per_fu": 0.00, "raw_formation_energy_ev_per_atom": -0.58, "dft_energy_ev_per_atom": -8.14, "space_group": "P-6, No. 174"}


2.
{"formula": "Mo2SeCl", "functional": "GGA-PBE", "state": "optimized geometry", "lattice": [[4.583, 0.000, 0.000], [2.291, 3.969, 0.000], [2.291, 1.323, 3.742]], "species": ["Mo", "Mo", "Cl", "Se"], "fractional_positions": [[0.000, 0.000, 0.000], [0.250, 0.250, 0.250], [0.500, 0.500, 0.500], [0.750, 0.750, 0.750]], "total_magnetization_mub_per_fu": 0.99, "raw_formation_energy_ev_per_atom": 0.80, "dft_energy_ev_per_atom": -5.95, "space_group": "F-43m, No. 216", "polymorph_energy_mev_per_atom": 995}


3.
{"formula": "RbAlGa", "functional": "GGA-PBE", "state": "optimized geometry", "lattice": [[4.376, -0.213, 0.051], [0.225, 4.590, 0.144], [-0.090, 0.100, 9.862]], "species": ["Ga", "Ga", "Rb", "Rb", "Al", "Al"], "fractional_positions": [[0.315, 0.310, 0.775], [0.813, 0.923, 0.064], [0.815, 0.856, 0.602], [0.311, 0.377, 0.237], [0.814, 0.425, 0.927], [0.313, 0.808, 0.912]], "total_magnetization_mub_per_fu": 0.00, "dft_energy_ev_per_atom": -2.61, "space_group": "P-1, No. 2", "polymorph_energy_mev_per_atom": 0}


4.
{"formula": "BeRe2Ru", "functional": "GGA-PBE", "state": "optimized geometry", "lattice": [[-3.268, -2.329, -1.384], [-3.006, -1.265, 2.717], [-3.886, 1.698, -0.193]], "species": ["Ru", "Be", "Re", "Re"], "fractional_positions": [[0.500, 0.500, 0.500], [0.000, 0.000, 0.000], [0.250, 0.250, 0.250], [0.750, 0.750, 0.750]], "total_magnetization_mub_per_fu": 0.00, "dft_energy_ev_per_atom": -9.10, "space_group": "Fm-3m, No. 225", "polymorph_energy_mev_per_atom": 446}


5.
{"formula": "YAsOs2", "functional": "GGA-PBE", "state": "optimized geometry", "lattice": [[-5.008, 1.430, 1.515], [-1.616, -1.008, 5.078], [4.251, 2.246, -2.510]], "species": ["Os", "Os", "Y", "As"], "fractional_positions": [[0.500, 0.500, 0.000], [0.000, 0.000, 0.000], [0.250, 0.750, 0.500], [0.750, 0.250, 0.500]], "total_magnetization_mub_per_fu": 0.00, "dft_energy_ev_per_atom": -8.13, "space_group": "I4/mmm, No. 139"}


6.
{"formula": "Mg2AlCdN", "functional": "GGA-PBE", "state": "optimized geometry", "lattice": [[-4.008, 1.608, -1.395], [-2.129, -2.982, 2.677], [0.027, 2.559, 2.872]], "species": ["Mg", "Mg", "Cd", "Al", "N"], "fractional_positions": [[0.500, 0.000, 0.000], [0.000, 0.500, 0.000], [0.500, 0.500, 0.500], [0.000, 0.000, 0.500], [0.000, 0.000, 0.000]], "total_magnetization_mub_per_fu": 0.00, "raw_formation_energy_ev_per_atom": -0.25, "dft_energy_ev_per_atom": -3.48, "space_group": "P4/mmm, No. 123"}


7.
{"formula": "TmZr2Ru3", "functional": "GGA-PBE", "state": "optimized geometry", "lattice": [[4.661, 0.000, 0.000], [-2.330, 4.036, 0.000], [0.000, 0.000, 5.726]], "species": ["Ru", "Ru", "Ru", "Zr", "Zr", "Tm"], "fractional_positions": [[0.333, 0.667, 0.176], [0.000, 0.000, 0.500], [0.667, 0.333, 0.824], [0.667, 0.333, 0.334], [0.333, 0.667, 0.666], [0.000, 0.000, 0.000]], "total_magnetization_mub_per_fu": 0.00, "dft_energy_ev_per_atom": -8.84, "space_group": "P-3m1, No. 164", "polymorph_energy_mev_per_atom": 11}


8.
{"formula": "Pm2PrDyHo", "functional": "GGA-PBE", "state": "optimized geometry", "lattice": [[6.667, 0.000, 0.000], [0.000, 8.244, 1.290], [0.000, -1.214, 6.111]], "species": ["Ho", "Ho", "Pr", "Pr", "Pm", "Pm", "Pm", "Pm", "Dy", "Dy"], "fractional_positions": [[0.840, 0.500, 0.250], [0.160, 0.500, 0.750], [0.000, 0.000, 0.000], [0.000, 0.000, 0.500], [0.690, 0.308, 0.737], [0.310, 0.692, 0.263], [0.310, 0.308, 0.237], [0.690, 0.692, 0.763], [0.428, 0.000, 0.750], [0.572, 0.000, 0.250]], "total_magnetization_mub_per_fu": 0.00, "dft_energy_ev_per_atom": -4.41, "space_group": "P2/c, No. 13"}


9.
{"formula": "K2TlAu", "functional": "GGA-PBE", "state": "optimized geometry", "lattice": [[6.977, 0.000, 0.000], [0.000, 6.287, -2.453], [0.000, -0.001, 6.749]], "species": ["Tl", "Tl", "Au", "Au", "K", "K", "K", "K"], "fractional_positions": [[0.750, 0.204, 0.204], [0.250, 0.796, 0.796], [0.000, 0.500, 0.500], [0.500, 0.500, 0.500], [0.250, 0.034, 0.375], [0.750, 0.625, 0.966], [0.750, 0.966, 0.625], [0.250, 0.375, 0.034]], "total_magnetization_mub_per_fu": 0.00, "dft_energy_ev_per_atom": -2.12, "space_group": "Cmcm, No. 63"}


10.
{"formula": "CeYMgAu", "functional": "GGA-PBE", "state": "optimized geometry", "lattice": [[5.268, 0.000, 0.000], [2.634, 4.562, 0.000], [2.634, 1.521, 4.302]], "species": ["Y", "Ce", "Au", "Mg"], "fractional_positions": [[0.750, 0.750, 0.750], [0.250, 0.250, 0.250], [0.000, 0.000, 0.000], [0.500, 0.500, 0.500]], "total_magnetization_mub_per_fu": 0.99, "dft_energy_ev_per_atom": -4.61, "space_group": "F-43m, No. 216"}


11.
{"formula": "Ba7Bi2PbO2", "functional": "GGA-PBE", "state": "optimized geometry", "lattice": [[-4.812, -0.398, -2.542], [2.548, -1.478, -4.593], [-2.092, -15.174, 0.482]], "species": ["O", "O", "Ba", "Ba", "Ba", "Ba", "Ba", "Ba", "Ba", "Bi", "Bi", "Pb"], "fractional_positions": [[0.404, 0.404, 0.191], [0.596, 0.596, 0.809], [0.405, 0.905, 0.190], [0.301, 0.301, 0.399], [0.595, 0.095, 0.810], [0.905, 0.405, 0.190], [0.095, 0.595, 0.810], [0.500, 0.500, 0.000], [0.699, 0.699, 0.601], [0.820, 0.820, 0.360], [0.180, 0.180, 0.640], [0.000, 0.000, 0.000]], "total_magnetization_mub_per_fu": 0.00, "raw_formation_energy_ev_per_atom": -1.38, "dft_energy_ev_per_atom": -4.29, "space_group": "I4/mmm, No. 139"}


12.
{"formula": "Y6Cd2NO", "functional": "GGA-PBE", "state": "optimized geometry", "lattice": [[6.825, 0.000, 0.000], [0.000, 6.825, 0.000], [0.000, 0.000, 9.649]], "species": ["Cd", "Cd", "Cd", "Cd", "Y", "Y", "Y", "Y", "Y", "Y", "Y", "Y", "Y", "Y", "Y", "Y", "N", "N", "O", "O"], "fractional_positions": [[0.500, 0.750, 0.250], [0.000, 0.250, 0.250], [0.000, 0.250, 0.750], [0.500, 0.750, 0.750], [0.748, 0.002, 0.500], [0.748, 0.498, 0.500], [0.752, 0.998, 0.000], [0.252, 0.498, 0.500], [0.500, 0.250, 0.252], [0.248, 0.502, 0.000], [0.000, 0.750, 0.752], [0.752, 0.502, 0.000], [0.248, 0.998, 0.000], [0.500, 0.250, 0.748], [0.252, 0.002, 0.500], [0.000, 0.750, 0.248], [0.500, 0.250, 0.500], [0.000, 0.750, 0.000], [0.000, 0.750, 0.500], [0.500, 0.250, 0.000]], "total_magnetization_mub_per_fu": 0.00, "raw_formation_energy_ev_per_atom": -1.12, "dft_energy_ev_per_atom": -6.51, "space_group": "Fm-3m, No. 225"}


13.
{"formula": "Ce3Y4HoS8", "functional": "GGA-PBE", "state": "optimized geometry", "lattice": [[7.893, 0.000, 0.000], [0.000, 7.919, 0.018], [-3.946, -3.940, 5.582]], "species": ["S", "S", "S", "S", "S", "S", "S", "S", "Ce", "Ce", "Ce", "Y", "Y", "Y", "Y", "Ho"], "fractional_positions": [[0.757, 0.755, 0.006], [0.247, 0.240, 0.493], [0.751, 0.245, 0.502], [0.249, 0.755, 0.006], [0.249, 0.755, 0.498], [0.753, 0.760, 0.507], [0.751, 0.245, 0.994], [0.243, 0.245, 0.994], [0.500, 0.500, 0.000], [0.000, 0.500, 0.500], [0.500, 0.500, 0.500], [0.500, 0.000, 0.000], [0.000, 0.000, 0.500], [0.000, 0.000, 0.000], [0.500, 0.000, 0.500], [0.000, 0.500, 0.000]], "total_magnetization_mub_per_fu": 1.85, "raw_formation_energy_ev_per_atom": -2.02, "dft_energy_ev_per_atom": -7.10, "space_group": "R-3m, No. 166"}


14.
{"formula": "BaSc2NiS4", "functional": "GGA-PBE", "state": "optimized geometry", "lattice": [[-2.175, -3.030, -0.891], [4.674, 0.513, -4.904], [7.991, -7.740, 6.807]], "species": ["Sc", "Sc", "Sc", "Sc", "Ni", "Ni", "S", "S", "S", "S", "S", "S", "S", "S", "Ba", "Ba"], "fractional_positions": [[0.365, 0.729, 0.933], [0.635, 0.271, 0.433], [0.635, 0.271, 0.067], [0.365, 0.729, 0.567], [0.839, 0.677, 0.750], [0.161, 0.323, 0.250], [0.738, 0.476, 0.609], [0.000, 0.000, 0.500], [0.262, 0.524, 0.109], [0.000, 0.000, 0.000], [0.738, 0.476, 0.891], [0.262, 0.524, 0.391], [0.571, 0.142, 0.250], [0.429, 0.858, 0.750], [0.107, 0.215, 0.750], [0.893, 0.785, 0.250]], "total_magnetization_mub_per_fu": 0.00, "raw_formation_energy_ev_per_atom": -1.70, "dft_energy_ev_per_atom": -6.31, "space_group": "Cmcm, No. 63"}


15.
{"formula": "RbCuHg3", "functional": "GGA-PBE", "state": "optimized geometry", "lattice": [[-4.578, 0.143, -2.676], [-2.639, -1.167, 4.451], [-0.469, 5.173, 1.079]], "species": ["Hg", "Hg", "Hg", "Rb", "Cu"], "fractional_positions": [[0.500, 0.000, 0.000], [0.000, 0.500, 0.000], [0.000, 0.000, 0.500], [0.500, 0.500, 0.500], [0.000, 0.000, 0.000]], "total_magnetization_mub_per_fu": 0.00, "dft_energy_ev_per_atom": -1.29, "space_group": "Pm-3m, No. 221", "polymorph_energy_mev_per_atom": 0}


16.
{"formula": "LuNi2Ge2", "functional": "GGA-PBE", "state": "optimized geometry", "lattice": [[-3.776, -0.361, -1.352], [-0.537, -3.226, 2.349], [0.580, 4.679, 3.114]], "species": ["Ge", "Ge", "Ni", "Ni", "Lu"], "fractional_positions": [[0.627, 0.627, 0.254], [0.372, 0.372, 0.746], [0.750, 0.250, 0.500], [0.250, 0.750, 0.500], [0.000, 0.000, 0.000]], "total_magnetization_mub_per_fu": 0.00, "dft_energy_ev_per_atom": -5.71, "space_group": "I4/mmm, No. 139"}


17.
{"formula": "ZnCdAgPd", "functional": "GGA-PBE", "state": "optimized geometry", "lattice": [[-2.587, 1.433, -0.791], [-1.345, -2.704, -0.498], [-2.196, -0.173, 6.870]], "species": ["Cd", "Zn", "Pd", "Ag"], "fractional_positions": [[0.500, 0.500, 0.807], [0.500, 0.500, 0.339], [0.000, 0.000, 0.542], [0.000, 0.000, 0.097]], "total_magnetization_mub_per_fu": 0.00, "dft_energy_ev_per_atom": -2.82, "space_group": "P4mm, No. 99"}


18.
{"formula": "BePS2N", "functional": "GGA-PBE", "state": "optimized geometry", "lattice": [[-1.494, -0.581, 3.742], [-2.330, -3.030, -1.401], [3.484, -3.099, 0.910]], "species": ["S", "S", "N", "Be", "P"], "fractional_positions": [[0.000, 0.500, 0.000], [0.500, 0.000, 0.000], [0.500, 0.500, 0.500], [0.000, 0.000, 0.000], [0.000, 0.000, 0.500]], "total_magnetization_mub_per_fu": 1.52, "raw_formation_energy_ev_per_atom": 1.53, "dft_energy_ev_per_atom": -3.62, "space_group": "P4/mmm, No. 123", "polymorph_energy_mev_per_atom": 821}


19.
{"formula": "HfTeIrN2", "functional": "GGA-PBE", "state": "optimized geometry", "lattice": [[-1.758, 3.279, 1.523], [-0.258, -1.803, 3.584], [5.544, 2.258, 1.536]], "species": ["Hf", "N", "N", "Te", "Ir"], "fractional_positions": [[0.000, 0.000, 0.000], [0.000, 0.500, 0.000], [0.500, 0.000, 0.000], [0.000, 0.000, 0.500], [0.500, 0.500, 0.500]], "total_magnetization_mub_per_fu": 1.75, "raw_formation_energy_ev_per_atom": 0.88, "dft_energy_ev_per_atom": -6.84, "space_group": "P4/mmm, No. 123", "polymorph_energy_mev_per_atom": 0}


20.
{"formula": "Dy2Ni4As3Ir", "functional": "GGA-PBE", "state": "optimized geometry", "lattice": [[-1.092, 2.097, 3.203], [-1.493, -3.300, 1.651], [8.946, -1.899, 4.293]], "species": ["Dy", "Dy", "As", "As", "As", "Ni", "Ni", "Ni", "Ni", "Ir"], "fractional_positions": [[0.500, 0.000, 0.248], [0.000, 0.500, 0.752], [0.000, 0.000, 0.500], [0.500, 0.000, 0.871], [0.000, 0.500, 0.129], [0.000, 0.000, 0.000], [0.500, 0.500, 0.000], [0.000, 0.500, 0.356], [0.500, 0.000, 0.644], [0.500, 0.500, 0.500]], "total_magnetization_mub_per_fu": 0.00, "dft_energy_ev_per_atom": -6.18, "space_group": "P-4m2, No. 115"}